This record from the Alexandria database describes Te6PdPt2 after structural relaxation. The functional is PBE.

abc: 6.2426 6.2426 12.7660
angles: 90.00 90.00 90.00
Last column: nearest neighbours and their distance in Å.
Space group P4_2/mnm (No. 136)
Inequivalent atoms, fractional coordinates:
Te 0.1922 0.1922 0.0000 [4 per cell]  2 Pt 2.71, 1 Pd 2.72
Te 0.1919 0.1919 0.3332 [8 per cell]  2 Pt 2.72-2.73, 1 Pd 2.72
Pd 0.0000 0.0000 0.5000 [2 per cell]  6 Te 2.72
Pt 0.0000 0.0000 0.1658 [4 per cell]  6 Te 2.71-2.73

Computed properties:
**Formation energy from raw total energies**: -0.112 eV/atom
**Total DFT energy (no corrections)**: -0.152 hartree per atom
**Total moment**: 0.0 μB/f.u.
**Relative energy among the computed polymorphs**: 233 kJ/mol of formula units